First-principles (GGA-PBE) data for a relaxed BaAs2Pd2 crystal, as listed in the Alexandria database.

a = 4.5542 Å, b = 4.5542 Å, c = 20.9128 Å
α = 90.00°, β = 90.00°, γ = 90.00°
Closest atoms and distances in Å follow each position.
Space group I4/mmm (No. 139)
One atom of each set of equivalent atoms:
1 Ba 0.0000 0.0000 0.1236 (multiplicity 4)  8 As 3.43-3.49, 9 Pd 3.44-3.82
2 As 0.0000 0.0000 0.4331 (multiplicity 4)  5 Pd 2.65-2.67, 1 As 2.80
3 As 0.0000 0.5000 0.2500 (multiplicity 4)  4 Pd 2.56
4 Pd 0.0000 0.0000 0.3065 (multiplicity 4)  5 As 2.56-2.65
5 Pd 0.0000 0.5000 0.0000 (multiplicity 4)  4 As 2.67

Values from the calculation:
Calculated total energy, eV/atom: -5.0940
Spin magnetization, μB/f.u.: 0.00
ΔH_f (0 K), meV per atom: -773